(1)
VASP calculation (PBE) on a geometry-optimized TbSi2Au structure.

Summary:
Calculated total energy (eV for the cell shown): -40.09

Cell and atoms, written as CIF:
```
data_TbSi2Au
_chemical_formula_sum 'Tb2 Si4 Au2'
_space_group_name_H-M_alt 'C m m m'
_space_group_IT_number 65
_space_group_name_Hall '-C 2 2'
_cell_length_a 5.0500
_cell_length_b 8.6170
_cell_length_c 3.8081
_cell_angle_alpha 90.00
_cell_angle_beta 90.00
_cell_angle_gamma 90.00
loop_
_atom_site_label
_atom_site_type_symbol
_atom_site_fract_x
_atom_site_fract_y
_atom_site_fract_z
Tb1 Tb 0.0000 0.0000 0.0000
Si1 Si 0.2500 0.2500 0.5000
Au1 Au 0.0000 0.5000 0.5000
```

(2)
VASP calculation (PBE) on a geometry-optimized RbYCr2Pd structure.

Summary:
ΔE_f (eV per atom): 1.728

Cell and atoms, written as CIF:
```
data_RbYCr2Pd
_chemical_formula_sum 'Rb1 Y1 Cr2 Pd1'
_space_group_name_H-M_alt 'P 4/m m m'
_space_group_IT_number 123
_space_group_name_Hall '-P 4 2'
_cell_length_a 5.3241
_cell_length_b 5.3241
_cell_length_c 5.1517
_cell_angle_alpha 90.00
_cell_angle_beta 90.00
_cell_angle_gamma 90.00
loop_
_atom_site_label
_atom_site_type_symbol
_atom_site_fract_x
_atom_site_fract_y
_atom_site_fract_z
Rb1 Rb 0.0000 0.0000 0.0000
Y1 Y 0.5000 0.5000 0.5000
Cr1 Cr 0.0000 0.5000 0.0000
Pd1 Pd 0.0000 0.0000 0.5000
```

(3)
VASP calculation (PBE) on a geometry-optimized CuTeIr2 structure.

Summary:
Calculated total energy (eV for the cell shown): -68.74

Cell and atoms, written as CIF:
```
data_CuTeIr2
_chemical_formula_sum 'Cu3 Te3 Ir6'
_space_group_name_H-M_alt 'R -3 m'
_space_group_IT_number 166
_space_group_name_Hall '-R 3 2"'
_cell_length_a 3.0549
_cell_length_b 3.0549
_cell_length_c 24.2993
_cell_angle_alpha 90.00
_cell_angle_beta 90.00
_cell_angle_gamma 120.00
loop_
_atom_site_label
_atom_site_type_symbol
_atom_site_fract_x
_atom_site_fract_y
_atom_site_fract_z
Cu1 Cu 0.0000 0.0000 0.0000
Te1 Te 0.0000 0.0000 0.5000
Ir1 Ir 0.0000 0.0000 0.2531
```

(4)
VASP calculation (PBE) on a geometry-optimized LiMgTa2 structure.

Summary:
ΔE_f (eV per atom): 0.312

Cell and atoms, written as CIF:
```
data_LiMgTa2
_chemical_formula_sum 'Li2 Mg2 Ta4'
_space_group_name_H-M_alt 'I m m m'
_space_group_IT_number 71
_space_group_name_Hall '-I 2 2'
_cell_length_a 3.1094
_cell_length_b 4.4977
_cell_length_c 10.2969
_cell_angle_alpha 90.00
_cell_angle_beta 90.00
_cell_angle_gamma 90.00
loop_
_atom_site_label
_atom_site_type_symbol
_atom_site_fract_x
_atom_site_fract_y
_atom_site_fract_z
Li1 Li 0.0000 0.0000 0.0000
Mg1 Mg 0.0000 0.0000 0.5000
Ta1 Ta 0.0000 0.5000 0.2545
```

(5)
VASP calculation (PBE) on a geometry-optimized Y3Ag2Pt structure.

Summary:
ΔE_f (eV per atom): -0.640

Cell and atoms, written as CIF:
```
data_Y3Ag2Pt
_chemical_formula_sum 'Y3 Ag2 Pt1'
_space_group_name_H-M_alt 'P -3 m 1'
_space_group_IT_number 164
_space_group_name_Hall '-P 3 2"'
_cell_length_a 5.0648
_cell_length_b 5.0648
_cell_length_c 6.2341
_cell_angle_alpha 90.00
_cell_angle_beta 90.00
_cell_angle_gamma 120.00
loop_
_atom_site_label
_atom_site_type_symbol
_atom_site_fract_x
_atom_site_fract_y
_atom_site_fract_z
Y1 Y 0.0000 0.0000 0.0000
Y2 Y 0.3333 0.6667 0.6492
Ag1 Ag 0.3333 0.6667 0.1442
Pt1 Pt 0.0000 0.0000 0.5000
```

Repeat the second record exactly.
VASP calculation (PBE) on a geometry-optimized RbYCr2Pd structure.

Summary:
ΔE_f (eV per atom): 1.728

Cell and atoms, written as CIF:
```
data_RbYCr2Pd
_chemical_formula_sum 'Rb1 Y1 Cr2 Pd1'
_space_group_name_H-M_alt 'P 4/m m m'
_space_group_IT_number 123
_space_group_name_Hall '-P 4 2'
_cell_length_a 5.3241
_cell_length_b 5.3241
_cell_length_c 5.1517
_cell_angle_alpha 90.00
_cell_angle_beta 90.00
_cell_angle_gamma 90.00
loop_
_atom_site_label
_atom_site_type_symbol
_atom_site_fract_x
_atom_site_fract_y
_atom_site_fract_z
Rb1 Rb 0.0000 0.0000 0.0000
Y1 Y 0.5000 0.5000 0.5000
Cr1 Cr 0.0000 0.5000 0.0000
Pd1 Pd 0.0000 0.0000 0.5000
```